# Er2ScAg

A relaxed Er2ScAg crystal (PBE-GGA, Alexandria).

Results
Final energy = -4.62 eV/atom
Energy relative to the elements = -0.05 eV per atom

Cell lengths 5.2245, 5.2245, 3.6797 Å; angles 90.00, 90.00, 90.00 degrees
Closest atoms and distances in Å follow each position.
Sites, in units of the cell vectors:
Er (0.0000, 0.5000, 0.0000)  4 Sc 3.20, 4 Ag 3.20
Er (0.5000, 0.0000, 0.0000)  4 Sc 3.20, 4 Ag 3.20
Sc (0.0000, 0.0000, 0.5000)  8 Er 3.20
Ag (0.5000, 0.5000, 0.5000)  8 Er 3.20